# YTm5In6 PBE relaxed
data_YTm5In6
_chemical_formula_sum 'Y2 Tm10 In12'
_cell_length_a 5.281
_cell_length_b 15.841
_cell_length_c 7.413
_cell_angle_alpha 90.00
_cell_angle_beta 90.00
_cell_angle_gamma 90.00
_space_group_name_H-M_alt 'C m m m'
_space_group_IT_number 65
_space_group_name_Hall '-C 2 2'
loop_
_atom_site_label
_atom_site_fract_x
_atom_site_fract_y
_atom_site_fract_z
Y1 0.000 0.000 0.000
Tm1 0.000 0.000 0.500
Tm2 0.000 0.333 0.000
Tm3 0.000 0.334 0.500
In1 0.000 0.168 0.252
In2 0.000 0.500 0.251
# - Total magnetization: 0.00 Bohr magnetons per cell
# - Final energy: -4.2066 eV/atom
# - DOS at the Fermi energy: 0.487 states/eV/atom
# - Energy of formation from the pure elements: -5.2 eV per formula unit